Material: Li7Mn2Co3O12
Method: DFT, GGA+U
State: optimized geometry

Summary:
* total magnetic moment: 7.99 Bohr magnetons per cell
* distance to the lowest polymorph of the same formula: 42 meV per atom

Cell lengths 2.894, 5.012, 14.721 Å; angles 87.42, 94.89, 91.08 degrees
Each line ends with the local moment (μB).
Atoms (fractional coordinates):
Li 0.067 0.717 0.135  -0.01
Li 0.740 0.187 0.512  0.00
Li 0.442 0.958 0.836  0.00
Li 0.572 0.241 0.142  0.00
Li 0.253 0.679 0.511  0.00
Li 0.928 0.479 0.840  0.00
Li 0.505 0.594 0.993  0.01
Mn 0.008 0.096 0.994  3.10
Mn 0.157 0.036 0.340  3.55
Co 0.660 0.537 0.341  0.03
Co 0.332 0.324 0.668  -0.02
Co 0.836 0.824 0.669  1.89
O 0.538 0.929 0.069  -0.06
O 0.187 0.366 0.413  -0.04
O 0.853 0.150 0.735  -0.05
O 0.048 0.390 0.074  -0.10
O 0.705 0.856 0.414  -0.05
O 0.408 0.636 0.740  0.06
O 0.615 0.219 0.273  -0.09
O 0.256 0.010 0.592  0.06
O 0.971 0.804 0.916  -0.17
O 0.135 0.706 0.273  -0.06
O 0.807 0.501 0.597  -0.03
O 0.480 0.260 0.922  -0.08